[1]
DFT (PBE) results for a relaxed AgSb2Te crystal.

Cell and atoms, written as POSCAR:
```
AgSb2Te
1.0
3.219 0.165 0.000
-0.843 3.111 0.000
0.000 0.000 10.395
Ag Sb Te
1 2 1
Cartesian
1.188 1.638 7.885
1.188 1.638 2.360
0.000 0.000 10.131
0.000 0.000 5.613
```

Values from the calculation:
As for the raw formation energy: 215 meV per atom.

---

[2]
DFT (PBE) results for a relaxed LiCa2As2Pt crystal.

Cell and atoms, written as POSCAR:
```
LiCa2As2Pt
1.0
-1.129 -5.798 0.302
3.654 -0.944 -4.459
4.148 2.557 6.685
Ca As Li Pt
4 4 2 2
Cartesian
1.474 -1.794 1.588
5.200 -2.391 0.941
2.767 -5.009 -0.499
3.907 0.824 3.027
6.256 0.408 1.214
0.417 -4.592 1.314
2.829 -2.061 -1.071
3.844 -2.124 3.600
2.741 -0.708 -3.344
0.914 -0.236 -1.115
2.176 -3.607 -3.193
0.349 -3.135 -0.964
```

Values from the calculation:
As for the formation energy: -0.92 eV per atom.

---

[3]
DFT (PBE) results for a relaxed InHPd3 crystal.

Cell and atoms, written as POSCAR:
```
InHPd3
1.0
3.852 0.000 0.000
0.000 3.852 0.000
0.000 0.000 6.514
Pd H In
3 1 1
Cartesian
0.000 1.926 2.940
0.000 0.000 4.918
1.926 0.000 2.940
1.926 1.926 2.988
0.000 0.000 0.959
```

Values from the calculation:
As for the total energy: -4.2585 eV/atom.

---

[4]
DFT (PBE) results for a relaxed Pr5TlIn4 crystal.

Cell and atoms, written as POSCAR:
```
Pr5TlIn4
1.0
-3.360 -1.622 1.176
1.905 -3.298 0.896
3.094 6.698 18.074
In Tl Pr
4 1 5
Cartesian
2.471 5.347 14.430
1.240 2.683 7.241
0.624 1.350 3.644
1.855 4.014 10.833
0.000 0.000 0.000
2.051 3.555 17.267
1.434 2.220 13.664
0.820 0.889 10.073
0.205 -0.442 6.482
-0.412 -1.777 2.879
```

Values from the calculation:
As for the formation energy: -0.48 eV per atom.

---

[5]
DFT (PBE) results for a relaxed PaSiPd2 crystal.

Cell and atoms, written as POSCAR:
```
PaSiPd2
1.0
3.035 0.000 0.000
1.518 2.629 0.000
1.518 0.876 9.270
Pd Si Pa
2 1 1
Cartesian
1.518 0.876 6.402
4.553 2.629 2.868
3.035 1.752 4.635
0.000 0.000 0.000
```

Values from the calculation:
As for the raw formation energy: -68 meV per atom.

---

[6]
DFT (PBE) results for a relaxed TbZrCd2 crystal.

Cell and atoms, written as POSCAR:
```
TbZrCd2
1.0
-1.641 -3.154 0.801
3.003 -1.122 1.735
-2.491 2.861 6.162
Tb Cd Zr
1 2 1
Cartesian
-0.565 -0.707 4.349
-1.917 2.202 4.742
-0.574 0.659 1.420
0.681 -2.138 1.268
```

Values from the calculation:
As for the formation energy: -0.16 eV per atom.

---

no.,density of states at the Fermi level (states/eV per cell),M_tot (μB/f.u.)
1,1.3,0.0
2,6.1,0.0
3,1.6,0.0
4,5.9,0.0
5,4.9,0.9
6,5.0,0.0